Entry from Alexandria: an optimized crystal structure of AlPPt5 (GGA-PBEsol).

Summary:
E_tot   -7.026 eV/atom
Space group   P4/mmm, No. 123
N(E_F)   0.83 states/eV/f.u.

a = 3.896 Å, b = 3.896 Å, c = 6.786 Å
α = 90.00°, β = 90.00°, γ = 90.00°
Fractional positions:
Al 0.000 0.000 0.000
P 0.500 0.500 0.500
Pt 0.000 0.500 0.287
Pt 0.000 0.500 0.713
Pt 0.500 0.000 0.287
Pt 0.500 0.000 0.713
Pt 0.500 0.500 0.000